Material: BeCoRe2F
Method: DFT, GGA+U
State: optimized geometry

Computed properties:
* E: -5.83 eV/atom
* total magnetization: 0.816 μB/atom
* space-group type: No. 123

a b c (Å): 4.1618 4.1618 3.9614
angles (deg): 90.00 90.00 90.00
Sites, in units of the cell vectors:
Be (0.0000, 0.0000, 0.0000)
Co (0.5000, 0.5000, 0.0000)
Re (0.0000, 0.5000, 0.5000)
Re (0.5000, 0.0000, 0.5000)
F (0.5000, 0.5000, 0.5000)